# 1
A PBEsol-optimized structure of LaTaIn2, computed with SCAN.

Cell lengths 5.3432, 5.3432, 6.0064 Å; angles 98.21, 98.21, 34.05 degrees
Fractional coordinates of all 4 atoms:
1 La 0.0000 0.0000 0.0000
2 Ta 0.5000 0.5000 0.5000
3 In 0.2405 0.2405 0.7105
4 In 0.7595 0.7595 0.2895

The formation energy comes out at 0.3 eV per formula unit. Its total energy is -44.04 eV per atom.

***

# 2
A PBEsol-optimized structure of LaMnNbPd2, computed with SCAN.

Cell lengths 4.9565, 4.9565, 5.0825 Å; angles 90.00, 90.00, 90.00 degrees
Fractional coordinates of all 5 atoms:
1 La 0.0000 0.0000 0.0000
2 Mn 0.5000 0.5000 0.5000
3 Nb 0.0000 0.0000 0.5000
4 Pd 0.0000 0.5000 0.0000
5 Pd 0.5000 0.0000 0.0000

The formation energy comes out at 6.2 eV per formula unit. Its total energy is -30.77 eV per atom.

***

# 3
A PBEsol-optimized structure of MgMoPb2, computed with SCAN.

Cell lengths 3.0416, 3.0416, 10.5232 Å; angles 90.00, 90.00, 105.82 degrees
Fractional coordinates of all 4 atoms:
1 Mg 0.0000 0.0000 0.0000
2 Mo 0.5000 0.5000 0.1982
3 Pb 0.0000 0.0000 0.4139
4 Pb 0.5000 0.5000 0.7441

The formation energy comes out at 1.7 eV per formula unit. Its total energy is -47.44 eV per atom.

***

# 4
A PBEsol-optimized structure of ScInNi4, computed with SCAN.

Cell lengths 4.8082, 4.8082, 4.8082 Å; angles 60.00, 60.00, 60.00 degrees
Fractional coordinates of all 6 atoms:
1 Sc 0.0000 0.0000 0.0000
2 In 0.2500 0.2500 0.2500
3 Ni 0.1261 0.6246 0.6246
4 Ni 0.6246 0.1261 0.6246
5 Ni 0.6246 0.6246 0.1261
6 Ni 0.6246 0.6246 0.6246

The formation energy comes out at -2.4 eV per formula unit. Its total energy is -19.13 eV per atom.

***

# 5
A PBEsol-optimized structure of CuOsRh2, computed with SCAN.

Cell lengths 2.6968, 2.6968, 7.2304 Å; angles 90.00, 90.00, 90.00 degrees
Fractional coordinates of all 4 atoms:
1 Cu 0.0000 0.0000 0.0000
2 Os 0.0000 0.0000 0.5000
3 Rh 0.5000 0.5000 0.2470
4 Rh 0.5000 0.5000 0.7530

The formation energy comes out at 0.1 eV per formula unit. The distance to the lowest polymorph of the same formula is 0 meV/atom. Its total energy is -38.63 eV per atom.

***

# 6
A PBEsol-optimized structure of InOs2Au, computed with SCAN.

Cell lengths 5.7924, 5.7924, 5.7924 Å; angles 152.09, 131.98, 56.45 degrees
Fractional coordinates of all 4 atoms:
1 In 0.0000 0.0000 0.0000
2 Os 0.2489 0.7489 0.5000
3 Os 0.4514 0.4514 0.0000
4 Au 0.7139 0.2139 0.5000

The formation energy comes out at 2.4 eV per formula unit. Its total energy is -60.98 eV per atom.

***

# 7
A PBEsol-optimized structure of NaPCl2, computed with SCAN.

Cell lengths 4.7823, 4.7823, 4.7823 Å; angles 60.00, 60.00, 60.00 degrees
Fractional coordinates of all 4 atoms:
1 Na 0.0000 0.0000 0.0000
2 P 0.5000 0.5000 0.5000
3 Cl 0.2500 0.2500 0.2500
4 Cl 0.7500 0.7500 0.7500

Its uncorrected formation energy is -0.20 eV/atom. Its total energy is -7.84 eV per atom.

***

# 8
A PBEsol-optimized structure of Pd2PtAu, computed with SCAN.

Cell lengths 4.4202, 4.4202, 4.4202 Å; angles 60.00, 60.00, 60.00 degrees
Fractional coordinates of all 4 atoms:
1 Pd 0.2500 0.2500 0.2500
2 Pd 0.7500 0.7500 0.7500
3 Pt 0.0000 0.0000 0.0000
4 Au 0.5000 0.5000 0.5000

The formation energy comes out at 0.1 eV per formula unit. Its total energy is -51.19 eV per atom.